# ErInAg3 (PBE, optimized geometry)
# Energy above the most stable polymorph in this dataset = 0.0575 eV/atom
data_ErInAg3
_chemical_formula_sum 'Er2 In2 Ag6'
_cell_length_a 4.807
_cell_length_b 6.426
_cell_length_c 6.941
_cell_angle_alpha 90.00
_cell_angle_beta 90.00
_cell_angle_gamma 90.00
_space_group_name_H-M_alt 'P m m n'
_space_group_IT_number 59
loop_
_space_group_symop_operation_xyz
'x,y,z'
'-x,-y,-z'
'-x+1/2,-y+1/2,z'
'x+1/2,y+1/2,-z'
'x+1/2,-y,-z'
'-x+1/2,y,z'
'-x,y+1/2,-z'
'x,-y+1/2,z'
loop_
_atom_site_label
_atom_site_fract_x
_atom_site_fract_y
_atom_site_fract_z
_atom_site_occupancy
Er1 0.250 0.250 0.207 1
In1 0.250 0.750 0.449 1
Ag1 0.250 0.039 0.753 1
Ag2 0.250 0.750 0.059 1